Entry 1:
VASP calculation (PBE-GGA) on BaPrS2 after structural relaxation.

Cell and atoms, written as POSCAR:
```
BaPrS2
1.0
4.184 0.000 0.000
-2.092 3.623 0.000
0.000 0.000 22.528
Ba Pr S
3 3 6
Cartesian
0.000 0.000 0.000
0.000 2.416 15.019
2.092 1.208 7.509
0.000 0.000 3.910
0.000 2.416 18.929
2.092 1.208 11.419
0.000 0.000 13.036
0.000 0.000 17.217
0.000 2.416 5.526
0.000 2.416 9.708
2.092 1.208 2.198
2.092 1.208 20.545
```

Computed properties:
- Energy relative to the elements, uncorrected: -1.944 eV/atom
- Distance to the lowest polymorph of the same formula: 78 meV per atom



Entry 2:
VASP calculation (PBE-GGA) on Cs12K5Bi3 after structural relaxation.

Cell and atoms, written as POSCAR:
```
Cs12K5Bi3
1.0
-12.172 12.172 12.172
12.172 -12.172 12.172
12.172 12.172 -12.172
Cs K Bi
48 20 12
Cartesian
11.796 -2.354 3.718
18.634 -2.368 3.732
3.718 -0.376 2.354
14.540 8.440 -6.462
15.890 0.376 2.354
14.540 -3.732 6.462
2.354 3.718 -0.376
15.904 5.710 -2.368
8.440 6.462 -2.368
9.818 3.718 0.376
-0.376 2.354 3.718
6.462 -2.368 8.440
11.796 9.818 -3.718
6.462 2.368 3.732
9.818 -3.718 11.796
8.440 -6.462 14.540
3.732 6.462 2.368
14.526 8.454 0.376
3.718 11.796 -2.354
14.540 3.732 5.710
2.368 3.732 6.462
3.718 0.376 9.818
6.462 14.540 -3.732
11.796 2.354 8.454
0.376 9.818 3.718
5.710 -2.368 15.904
8.454 11.796 2.354
9.804 8.440 5.710
-2.368 8.440 6.462
8.454 0.376 14.526
-2.354 3.718 11.796
8.440 5.710 9.804
3.732 18.634 -2.368
2.354 15.890 0.376
5.710 9.804 8.440
0.376 2.354 15.890
5.710 14.540 3.732
12.548 9.818 8.454
2.354 8.454 11.796
3.732 5.710 14.540
-3.732 6.462 14.540
9.818 8.454 12.548
-2.368 15.904 5.710
-3.718 11.796 9.818
-2.368 3.732 18.634
8.454 12.548 9.818
-6.462 14.540 8.440
0.376 14.526 8.454
0.000 0.000 0.000
6.086 6.086 -6.086
6.086 -6.086 6.086
12.172 0.000 0.000
18.258 3.043 0.000
12.172 -6.086 9.129
9.129 12.172 -6.086
9.129 0.000 6.086
6.086 9.129 0.000
12.172 6.086 3.043
-6.086 6.086 6.086
0.000 12.172 0.000
0.000 0.000 12.172
6.086 6.086 6.086
0.000 6.086 9.129
6.086 3.043 12.172
3.043 12.172 6.086
3.043 0.000 18.258
0.000 18.258 3.043
-6.086 9.129 12.172
6.086 3.043 0.000
12.172 6.086 -3.043
3.043 0.000 6.086
15.215 0.000 6.086
0.000 6.086 3.043
6.086 -3.043 12.172
6.086 15.215 0.000
12.172 6.086 9.129
-3.043 12.172 6.086
9.129 12.172 6.086
0.000 6.086 15.215
6.086 9.129 12.172
```

Computed properties:
- Calculated formation energy: 0.025 eV/atom



Entry 3:
VASP calculation (PBE-GGA) on NdSiAg after structural relaxation.

Cell and atoms, written as POSCAR:
```
NdSiAg
1.0
6.666 0.000 0.000
0.000 6.666 0.000
0.000 0.000 6.666
Nd Si Ag
4 4 4
Cartesian
0.000 0.000 0.000
0.000 3.333 3.333
3.333 0.000 3.333
3.333 3.333 0.000
1.666 1.666 4.999
1.666 4.999 1.666
4.999 1.666 1.666
4.999 4.999 4.999
0.000 0.000 3.333
0.000 3.333 0.000
3.333 0.000 0.000
3.333 3.333 3.333
```

Computed properties:
- Energy relative to the elements, uncorrected: -0.370 eV/atom



Entry 4:
VASP calculation (PBE-GGA) on SrHg2Ir after structural relaxation.

Cell and atoms, written as POSCAR:
```
SrHg2Ir
1.0
4.432 0.000 0.000
0.000 4.190 0.000
-2.185 0.000 5.553
Sr Hg Ir
1 2 1
Cartesian
0.000 0.000 0.000
0.015 2.095 3.473
2.223 0.000 2.386
2.212 2.095 0.656
```

Computed properties:
- Calculated formation energy: 0.009 eV/atom



Entry 5:
VASP calculation (PBE-GGA) on YHf3C after structural relaxation.

Cell and atoms, written as POSCAR:
```
YHf3C
1.0
5.127 0.000 0.000
0.000 5.127 0.000
0.000 0.000 5.127
Y Hf C
1 3 1
Cartesian
0.000 0.000 0.000
0.000 0.000 2.563
0.000 2.563 0.000
2.563 0.000 0.000
2.563 2.563 2.563
```

Computed properties:
- Calculated formation energy: 2.916 eV/atom
- Distance to the lowest polymorph of the same formula: 3054 meV per atom



Entry 6:
VASP calculation (PBE-GGA) on LaCu2Ir after structural relaxation.

Cell and atoms, written as POSCAR:
```
LaCu2Ir
1.0
4.084 0.000 0.000
0.000 4.337 0.000
0.000 0.000 8.155
La Cu Ir
2 4 2
Cartesian
0.000 0.000 0.000
2.042 2.168 4.078
0.000 0.000 4.095
0.000 2.168 6.183
2.042 0.000 2.105
2.042 2.168 0.018
0.000 2.168 1.990
2.042 0.000 6.067
```

Computed properties:
- Calculated formation energy: -0.026 eV/atom
- Distance to the lowest polymorph of the same formula: 250 meV per atom



Entry 7:
VASP calculation (PBE-GGA) on Pa2Ga8Mo after structural relaxation.

Cell and atoms, written as POSCAR:
```
Pa2Ga8Mo
1.0
4.337 0.000 0.000
0.000 4.337 0.000
0.000 0.000 11.430
Pa Ga Mo
2 8 1
Cartesian
0.000 0.000 2.156
0.000 0.000 9.275
0.000 2.169 0.000
0.000 2.169 4.262
0.000 2.169 7.168
2.169 0.000 0.000
2.169 0.000 4.262
2.169 0.000 7.168
2.169 2.169 2.131
2.169 2.169 9.299
0.000 0.000 5.715
```

Computed properties:
- Calculated formation energy: -0.260 eV/atom



Entry 8:
VASP calculation (PBE-GGA) on La3AuO after structural relaxation.

Cell and atoms, written as POSCAR:
```
La3AuO
1.0
5.964 0.000 0.000
2.633 6.638 0.000
0.901 2.676 7.600
La Au O
6 2 2
Cartesian
1.774 3.629 2.270
4.519 7.800 6.773
4.745 6.183 2.769
4.752 3.131 4.831
4.978 1.514 0.827
7.723 5.685 5.331
2.031 1.273 0.012
7.467 8.041 7.588
3.260 4.679 3.787
6.237 4.635 3.813
```

Computed properties:
- Energy relative to the elements, uncorrected: -1.417 eV/atom
- Distance to the lowest polymorph of the same formula: 43 meV per atom



Entry 9:
VASP calculation (PBE-GGA) on PmPr2Zn9 after structural relaxation.

Cell and atoms, written as POSCAR:
```
PmPr2Zn9
1.0
2.768 1.598 8.792
-2.768 1.598 8.792
0.000 -3.196 8.792
Pm Pr Zn
1 2 9
Cartesian
0.000 0.000 0.000
0.000 0.000 3.721
0.000 0.000 22.654
-1.398 -0.807 10.911
0.000 0.000 8.830
0.000 -1.614 15.464
-1.398 0.807 15.464
0.000 0.000 13.188
1.398 -0.807 10.911
0.000 1.614 10.911
0.000 0.000 17.545
1.398 0.807 15.464
```

Computed properties:
- Calculated formation energy: -0.294 eV/atom



Entry 10:
VASP calculation (PBE-GGA) on Rb3ThS3 after structural relaxation.

Cell and atoms, written as POSCAR:
```
Rb3ThS3
1.0
3.809 2.199 11.954
-3.809 2.199 11.954
0.000 -4.398 11.954
Rb Th S
6 2 6
Cartesian
-2.293 -0.005 14.375
-1.142 -1.988 21.487
1.151 -1.983 14.375
-1.151 1.983 21.487
1.142 1.988 14.375
2.293 0.005 21.487
0.000 0.000 5.976
0.000 0.000 29.886
-1.465 -2.539 16.380
-2.932 -0.001 19.482
-1.466 2.538 16.380
1.466 -2.538 19.482
2.932 0.001 16.380
1.465 2.539 19.482
```

Computed properties:
- Energy relative to the elements, uncorrected: -1.329 eV/atom



Entry 11:
VASP calculation (PBE-GGA) on Pm5Ga2Pd2 after structural relaxation.

Cell and atoms, written as POSCAR:
```
Pm5Ga2Pd2
1.0
7.729 -3.638 0.000
7.729 3.638 0.000
0.000 0.000 8.470
Pm Ga Pd
10 4 4
Cartesian
0.000 0.000 0.000
5.633 2.461 5.723
5.633 1.177 1.487
9.826 2.461 5.723
9.826 1.177 1.487
7.729 0.000 4.235
5.633 -1.177 6.983
5.633 -2.461 2.748
9.826 -1.177 6.983
9.826 -2.461 2.748
3.180 0.000 0.000
4.549 0.000 4.235
10.909 0.000 4.235
12.279 0.000 0.000
7.729 2.719 3.186
7.729 0.919 7.421
7.729 -0.919 1.050
7.729 -2.719 5.285
```

Computed properties:
- Calculated formation energy: -0.553 eV/atom



Entry 12:
VASP calculation (PBE-GGA) on Te3Pt after structural relaxation.

Cell and atoms, written as POSCAR:
```
Te3Pt
1.0
4.604 0.000 0.000
0.000 4.604 0.000
0.000 0.000 4.604
Te Pt
3 1
Cartesian
0.000 0.000 2.302
0.000 2.302 0.000
2.302 0.000 0.000
2.302 2.302 2.302
```

Computed properties:
- Energy relative to the elements, uncorrected: 0.559 eV/atom



| no. | VASP energy (eV per atom) |
| --- | --- |
| 1 | -5.68 |
| 2 | -1.34 |
| 3 | -4.72 |
| 4 | -2.78 |
| 5 | -6.19 |
| 6 | -5.52 |
| 7 | -5.17 |
| 8 | -6.02 |
| 9 | -2.44 |
| 10 | -4.57 |
| 11 | -5.02 |
| 12 | -3.31 |